Entry 1:
Below is a geometry-optimized SmMg3Co structure, with properties calculated at the PBE-GGA level.

Summary:
Its raw total energy is -16.1 eV/cell. The symmetry is Pm-3m. As for the density of states at the Fermi level: 1.179 states/eV per atom. As for the crystal system: cubic. For the formation energy, the calculation gives 10.5 kJ per mole of atoms.

Cell lengths 4.840, 4.840, 4.840 Å; angles 90.00, 90.00, 90.00 degrees
Each line ends with the local moment (μB).
Atoms (fractional coordinates):
Mg  0.000  0.500  0.000  0.00
Mg  0.000  0.000  0.500  0.00
Mg  0.500  0.000  0.000  0.00
Co  0.000  0.000  0.000  0.27
Sm  0.500  0.500  0.500  0.08



Entry 2:
Below is a geometry-optimized MgAl2Rh structure, with properties calculated at the PBE-GGA level.

Summary:
Its raw total energy is -18.5 eV/cell. The symmetry is I4/mmm. As for the density of states at the Fermi level: 0.334 states/eV per atom. As for the crystal system: tetragonal. For the formation energy, the calculation gives -49.1 kJ per mole of atoms.

Cell lengths 4.766, 4.766, 4.766 Å; angles 130.41, 130.47, 72.70 degrees
Atoms (fractional coordinates):
Al  0.000  0.000  0.000
Al  0.500  0.500  0.000
Mg  0.750  0.250  0.500
Rh  0.250  0.750  0.500



Entry 3:
Below is a geometry-optimized PrHoAlTl structure, with properties calculated at the PBE-GGA level.

Summary:
Its raw total energy is -16.8 eV/cell. The value obtained for the relative energy among the computed polymorphs is 31 meV/atom. The symmetry is F-43m. As for the density of states at the Fermi level: 0.311 states/eV per atom. As for the crystal system: cubic. For the formation energy, the calculation gives -31.8 kJ per mole of atoms.

Cell lengths 5.341, 5.341, 5.341 Å; angles 60.00, 60.00, 60.00 degrees
Atoms (fractional coordinates):
Pr  0.750  0.750  0.750
Tl  0.000  0.000  0.000
Ho  0.250  0.250  0.250
Al  0.500  0.500  0.500



Entry 4:
Below is a geometry-optimized NdErCo2 structure, with properties calculated at the PBE-GGA level.

Summary:
Its raw total energy is -23.8 eV/cell. The value obtained for the relative energy among the computed polymorphs is 84 meV/atom. The symmetry is P4/mmm. As for the density of states at the Fermi level: 0.723 states/eV per atom. As for the crystal system: tetragonal. For the formation energy, the calculation gives -5.3 kJ per mole of atoms.

Cell lengths 3.390, 3.390, 6.779 Å; angles 90.00, 90.00, 90.00 degrees
Each line ends with the local moment (μB).
Atoms (fractional coordinates):
Co  0.000  0.000  0.764  0.77
Co  0.000  0.000  0.236  0.77
Nd  0.500  0.500  0.500  -0.15
Er  0.500  0.500  0.000  -0.27



Entry 5:
Below is a geometry-optimized InBi2WAu structure, with properties calculated at the PBE-GGA level.

Summary:
Its raw total energy is -18.6 eV/cell. The symmetry is P4/mmm. As for the density of states at the Fermi level: 0.640 states/eV per atom. As for the crystal system: tetragonal. For the formation energy, the calculation gives 157.7 kJ per mole of atoms.

Cell lengths 5.792, 5.075, 5.792 Å; angles 90.00, 90.00, 90.00 degrees
Each line ends with the local moment (μB).
Atoms (fractional coordinates):
Au  0.000  0.500  0.000  0.01
Bi  0.000  0.000  0.500  -0.18
Bi  0.500  0.000  0.000  -0.25
W  0.500  0.500  0.500  3.18
In  0.000  0.000  0.000  0.02



Entry 6:
Below is a geometry-optimized UTiMnTc structure, with properties calculated at the PBE-GGA level.

Summary:
Its raw total energy is -38.9 eV/cell. The symmetry is F-43m. As for the density of states at the Fermi level: 2.049 states/eV per atom. As for the crystal system: cubic. For the formation energy, the calculation gives -5.1 kJ per mole of atoms.

Cell lengths 4.518, 4.518, 4.518 Å; angles 60.00, 60.00, 60.00 degrees
Each line ends with the local moment (μB).
Atoms (fractional coordinates):
Mn  0.000  0.000  0.000  -1.23
U  0.750  0.750  0.750  1.56
Tc  0.500  0.500  0.500  -0.20
Ti  0.250  0.250  0.250  0.47



Entry 7:
Below is a geometry-optimized SrMgW2 structure, with properties calculated at the PBE-GGA level.

Summary:
Its raw total energy is -25.6 eV/cell. The symmetry is Imm2. As for the density of states at the Fermi level: 0.935 states/eV per atom. As for the crystal system: orthorhombic. For the formation energy, the calculation gives 86.6 kJ per mole of atoms.

Cell lengths 6.025, 6.025, 6.025 Å; angles 147.17, 126.75, 63.99 degrees
Atoms (fractional coordinates):
Mg  0.478  0.478  0.000
Sr  0.765  0.265  0.500
W  0.043  0.043  0.000
W  0.213  0.713  0.500



Entry 8:
Below is a geometry-optimized CePtAu structure, with properties calculated at the PBE-GGA level.

Summary:
Its raw total energy is -17.6 eV/cell. The value obtained for the relative energy among the computed polymorphs is 106 meV/atom. The symmetry is P-6m2. As for the density of states at the Fermi level: 1.694 states/eV per atom. As for the crystal system: hexagonal. For the formation energy, the calculation gives -75.6 kJ per mole of atoms.

Cell lengths 3.435, 4.700, 4.700 Å; angles 120.00, 90.00, 90.00 degrees
Each line ends with the local moment (μB).
Atoms (fractional coordinates):
Au  0.167  0.000  0.000  0.01
Ce  0.667  0.667  0.333  0.72
Pt  0.167  0.333  0.667  -0.03



Entry 9:
Below is a geometry-optimized Cd3Si structure, with properties calculated at the PBE-GGA level.

Summary:
Its raw total energy is -7.1 eV/cell. The value obtained for the relative energy among the computed polymorphs is 57 meV/atom. The symmetry is Pmm2. As for the density of states at the Fermi level: 0.437 states/eV per atom. As for the crystal system: orthorhombic. The calculation puts the formation energy without anion corrections at 25.4 kJ per mole of atoms.

Cell lengths 2.899, 5.471, 5.470 Å; angles 90.00, 90.00, 90.00 degrees
Atoms (fractional coordinates):
Cd  0.000  0.000  0.923
Cd  0.500  0.000  0.422
Cd  0.500  0.500  0.910
Si  0.000  0.500  0.412



Entry 10:
Below is a geometry-optimized Ce2GdEr structure, with properties calculated at the PBE-GGA level.

Summary:
Its raw total energy is -29.6 eV/cell. The value obtained for the relative energy among the computed polymorphs is 128 meV/atom. The symmetry is Fm-3m. As for the density of states at the Fermi level: 4.098 states/eV per atom. As for the crystal system: cubic. For the formation energy, the calculation gives 22.3 kJ per mole of atoms.

Cell lengths 5.625, 5.625, 5.625 Å; angles 60.00, 60.00, 60.00 degrees
Each line ends with the local moment (μB).
Atoms (fractional coordinates):
Gd  0.500  0.500  0.500  7.27
Ce  0.250  0.250  0.250  0.66
Ce  0.750  0.750  0.750  0.66
Er  0.000  0.000  0.000  -0.02



Entry 11:
Below is a geometry-optimized CsBaSn6Au4 structure, with properties calculated at the PBE-GGA level.

Summary:
Its raw total energy is -41.9 eV/cell. The symmetry is P6/mmm. As for the density of states at the Fermi level: 0.720 states/eV per atom. As for the crystal system: hexagonal. For the formation energy, the calculation gives -16.2 kJ per mole of atoms.

Cell lengths 6.563, 6.563, 10.051 Å; angles 90.00, 90.00, 120.00 degrees
Atoms (fractional coordinates):
Cs  0.000  0.000  0.000
Ba  0.000  0.000  0.500
Sn  0.500  0.500  0.343
Sn  0.500  0.500  0.657
Sn  0.500  0.000  0.343
Sn  0.000  0.500  0.343
Sn  0.500  0.000  0.657
Sn  0.000  0.500  0.657
Au  0.667  0.333  0.132
Au  0.333  0.667  0.132
Au  0.333  0.667  0.868
Au  0.667  0.333  0.868



Entry 12:
Below is a geometry-optimized NdNiP structure, with properties calculated at the PBE-GGA level.

Summary:
Its raw total energy is -38.9 eV/cell. The symmetry is P6_3/mmc. As for the density of states at the Fermi level: 0.574 states/eV per atom. As for the crystal system: hexagonal. For the formation energy, the calculation gives -111.8 kJ per mole of atoms.

Cell lengths 3.962, 3.962, 8.125 Å; angles 90.00, 90.00, 120.00 degrees
Atoms (fractional coordinates):
Ni  0.333  0.667  0.750
Ni  0.667  0.333  0.250
Nd  0.000  0.000  0.000
Nd  0.000  0.000  0.500
P  0.333  0.667  0.250
P  0.667  0.333  0.750



Entry 13:
Below is a geometry-optimized PrNd3Dy2P6 structure, with properties calculated at the PBE-GGA level.

Summary:
Its raw total energy is -79.3 eV/cell. The symmetry is C2/m. As for the density of states at the Fermi level: 0.121 states/eV per atom. As for the crystal system: monoclinic. For the formation energy, the calculation gives -149.5 kJ per mole of atoms.

Cell lengths 7.139, 7.139, 7.139 Å; angles 99.59, 99.59, 120.00 degrees
Atoms (fractional coordinates):
Pr  0.000  0.000  0.000
Nd  0.166  0.834  0.500
Nd  0.834  0.166  0.500
Nd  0.500  0.500  0.500
Dy  0.333  0.667  0.000
Dy  0.667  0.333  0.000
P  0.918  0.579  0.755
P  0.742  0.742  0.244
P  0.082  0.421  0.245
P  0.579  0.918  0.755
P  0.258  0.258  0.756
P  0.421  0.082  0.245



Entry 14:
Below is a geometry-optimized Cu2PC structure, with properties calculated at the PBE-GGA level.

Summary:
Its raw total energy is -18.1 eV/cell. The value obtained for the relative energy among the computed polymorphs is 290 meV/atom. The symmetry is Fm-3m. As for the density of states at the Fermi level: 0.333 states/eV per atom. As for the crystal system: cubic. For the formation energy, the calculation gives 114.1 kJ per mole of atoms.

Cell lengths 4.008, 4.008, 4.008 Å; angles 60.00, 60.00, 60.00 degrees
Atoms (fractional coordinates):
P  0.500  0.500  0.500
C  0.000  0.000  0.000
Cu  0.250  0.250  0.250
Cu  0.750  0.750  0.750



Entry 15:
Below is a geometry-optimized V2GeRu4 structure, with properties calculated at the PBE-GGA level.

Summary:
Its raw total energy is -54.0 eV/cell. The value obtained for the relative energy among the computed polymorphs is 934 meV/atom. The symmetry is I4/mmm. As for the density of states at the Fermi level: 0.986 states/eV per atom. As for the crystal system: tetragonal. For the formation energy, the calculation gives 82.0 kJ per mole of atoms.

Cell lengths 4.457, 4.457, 6.902 Å; angles 71.16, 71.16, 90.00 degrees
Each line ends with the local moment (μB).
Atoms (fractional coordinates):
Ru  0.201  0.201  0.598  -0.74
Ru  0.799  0.799  0.402  -0.74
Ru  0.000  0.500  0.000  -0.17
Ru  0.500  0.000  0.000  -0.17
Ge  0.000  0.000  0.000  0.02
V  0.370  0.370  0.259  0.92
V  0.630  0.630  0.741  0.92



Entry 16:
Below is a geometry-optimized Tb4Ho6Tm structure, with properties calculated at the PBE-GGA level.

Summary:
Its raw total energy is -98.0 eV/cell. The value obtained for the relative energy among the computed polymorphs is 0 meV/atom. The symmetry is Cmcm. As for the density of states at the Fermi level: 1.791 states/eV per atom. As for the crystal system: orthorhombic. For the formation energy, the calculation gives 12.6 kJ per mole of atoms.

Cell lengths 5.661, 5.551, 25.438 Å; angles 90.00, 90.00, 120.66 degrees
Atoms (fractional coordinates):
Tb  0.844  0.688  0.543
Tb  0.469  0.939  0.122
Tb  0.156  0.312  0.457
Tb  0.531  0.061  0.878
Tb  0.844  0.688  0.957
Tb  0.156  0.312  0.043
Tb  0.531  0.061  0.622
Tb  0.469  0.939  0.378
Ho  0.500  0.000  0.000
Ho  0.500  0.000  0.500
Ho  0.141  0.282  0.318
Ho  0.859  0.718  0.682
Ho  0.859  0.718  0.818
Ho  0.141  0.282  0.182
Ho  0.808  0.617  0.394
Ho  0.192  0.383  0.606
Ho  0.192  0.383  0.894
Ho  0.808  0.617  0.106
Ho  0.476  0.952  0.250
Ho  0.524  0.048  0.750
Tm  0.811  0.621  0.250
Tm  0.189  0.379  0.750